30
Lattice="6.5096 1.4900 -0.2162 1.4900 6.5096 0.2162 -1.0825 1.0825 23.9567" Properties=species:S:1:pos:R:3 comment="GGA-PBE Y12Ho2Zr, optimized geometry" formation_enthalpy_0k_ev_per_atom=0.163 crystal_system=monoclinic spacegroup="No. 12" pbc="T T T"
Y 3.1694 4.7598 19.2578
Y 0.7299 7.3399 19.4740
Y 5.1508 6.8485 21.0156
Y 2.1052 5.8034 22.4732
Y 1.3979 6.5959 8.0043
Y 2.3021 5.7885 1.6997
Y 4.1270 3.8379 13.2617
Y 3.9134 4.0918 7.7881
Y 1.1834 2.8164 21.0220
Y 5.7660 6.2333 2.9411
Y 0.9014 3.0984 13.8732
Y 5.2998 2.7343 10.4788
Y 5.5134 2.4804 15.9524
Y 2.0159 1.9839 10.0835
Y 1.7339 2.2659 2.9348
Y 5.9946 6.0047 10.0468
Y 4.9222 7.0772 13.9100
Y 6.2574 1.8124 4.4827
Y 1.6518 6.3823 13.4779
Y 3.0093 4.9959 16.1686
Y 4.7059 3.3846 22.2570
Y 3.6773 4.2519 4.6989
Y 2.7554 5.2095 10.6950
Y 4.7209 3.1877 1.4835
Ho 4.5778 7.4215 6.4459
Ho 0.5918 3.4080 6.4907
Ho 6.3390 5.6603 17.5108
Ho 2.3255 1.6743 17.4661
Zr 3.8194 8.1799 23.9478
Zr 7.0974 4.9019 0.0089